a | Material: TlCr2Se
Method: DFT, PBE-GGA
State: optimized geometry

Cell lengths 5.8799, 5.8799, 5.8799 Å; angles 140.85, 140.85, 56.56 degrees
Each line ends with the local moment (μB).
Fractional coordinates of all 4 atoms:
Cr (0.0000, 0.0000, 0.0000)  3.74
Cr (0.2500, 0.7500, 0.5000)  3.63
Se (0.5000, 0.5000, 0.0000)  -0.06
Tl (0.7500, 0.2500, 0.5000)  -0.03

Its crystal system is tetragonal.

=====

b | Material: TlCr2Se
Method: DFT, PBE-GGA
State: optimized geometry

Cell lengths 8.8328, 8.8328, 8.8328 Å; angles 21.39, 21.39, 21.39 degrees
Each line ends with the local moment (μB).
Fractional coordinates of all 4 atoms:
Cr (0.9865, 0.9865, 0.9865)  3.27
Cr (0.2484, 0.2484, 0.2484)  -2.46
Se (0.5222, 0.5222, 0.5222)  0.19
Tl (0.7430, 0.7430, 0.7430)  -0.04

Its crystal system is trigonal.

=====

c | Material: TlCr2Se
Method: DFT, PBE-GGA
State: optimized geometry

Cell lengths 7.3338, 7.3338, 6.1358 Å; angles 53.30, 53.30, 90.00 degrees
Each line ends with the local moment (μB).
Fractional coordinates of all 8 atoms:
Cr (0.5844, 0.1250, 0.2500)  3.68
Cr (0.1656, 0.6250, 0.2500)  3.67
Cr (0.3750, 0.4156, 0.7500)  3.72
Cr (0.8750, 0.8344, 0.7500)  3.70
Tl (0.0000, 0.0000, 0.0000)  -0.02
Tl (0.7500, 0.2500, 0.5000)  -0.02
Se (0.5000, 0.5000, 0.0000)  -0.08
Se (0.2500, 0.7500, 0.5000)  -0.08

Its crystal system is tetragonal.

=====

d | Material: TlCr2Se
Method: DFT, PBE-GGA
State: optimized geometry

Cell lengths 4.4693, 4.4693, 6.3887 Å; angles 76.57, 76.57, 44.52 degrees
Each line ends with the local moment (μB).
Fractional coordinates of all 4 atoms:
Cr (0.0155, 0.0155, 0.9013)  -2.59
Cr (0.7399, 0.7399, 0.7871)  3.17
Se (0.4898, 0.4898, 0.6176)  0.05
Tl (0.2548, 0.2548, 0.1940)  0.01

Its crystal system is monoclinic.

=====

Which structure loses on stability? a does.